No. 1
Density functional theory data (GGA-PBE) for a geometry-optimized Na12TlAu3 structure.

Cell: 4.7340 4.7340 19.0503 Å, 90.00 90.00 90.00°
Closest atoms and distances in Å follow each position.
Atoms (fractional coordinates):
Na1 0.0000 0.0000 0.0000  8 Na 3.29, 4 Au 3.35
Na2 0.0000 0.0000 0.2397  8 Na 3.28-3.29, 4 Au 3.35
Na3 0.0000 0.0000 0.5000  4 Tl 3.35, 8 Na 3.57
Na4 0.0000 0.0000 0.7603  8 Na 3.28-3.29, 4 Au 3.35
Na5 0.0000 0.5000 0.1202  8 Na 3.28-3.35, 4 Au 3.29-3.33
Na6 0.0000 0.5000 0.3598  2 Au 3.24, 8 Na 3.29-3.57, 2 Tl 3.57
Na7 0.0000 0.5000 0.6402  2 Au 3.24, 8 Na 3.29-3.57, 2 Tl 3.57
Na8 0.0000 0.5000 0.8798  8 Na 3.28-3.35, 4 Au 3.29-3.33
Na9 0.5000 0.0000 0.1202  8 Na 3.28-3.35, 4 Au 3.29-3.33
Na10 0.5000 0.0000 0.3598  2 Au 3.24, 8 Na 3.29-3.57, 2 Tl 3.57
Na11 0.5000 0.0000 0.6402  2 Au 3.24, 8 Na 3.29-3.57, 2 Tl 3.57
Na12 0.5000 0.0000 0.8798  8 Na 3.28-3.35, 4 Au 3.29-3.33
Tl1 0.5000 0.5000 0.5000  12 Na 3.35-3.57
Au1 0.5000 0.5000 0.0000  12 Na 3.29-3.35
Au2 0.5000 0.5000 0.2434  12 Na 3.24-3.35
Au3 0.5000 0.5000 0.7566  12 Na 3.24-3.35

Values from the calculation:
DOS(E_F): 6.31 states/eV/f.u.
Total moment: 0.0 μB per formula unit
Energy of formation from the pure elements: -0.1362 eV per atom


No. 2
Density functional theory data (GGA-PBE) for a geometry-optimized PrNdZnTc structure.

Cell: 5.1095 5.1095 5.1095 Å, 60.00 60.00 60.00°
Closest atoms and distances in Å follow each position.
Atoms (fractional coordinates):
Pr1 0.0000 0.0000 0.0000  4 Tc 3.13, 4 Zn 3.13
Nd1 0.5000 0.5000 0.5000  4 Tc 3.13, 4 Zn 3.13
Zn1 0.2500 0.2500 0.2500  4 Pr 3.13, 4 Nd 3.13
Tc1 0.7500 0.7500 0.7500  4 Pr 3.13, 4 Nd 3.13

Values from the calculation:
DOS(E_F): 1.73 states/eV/f.u.
Total moment: 0.0 μB per formula unit
Energy of formation from the pure elements: 0.0046 eV per atom


No. 3
Density functional theory data (GGA-PBE) for a geometry-optimized Tb3PrCd structure.

Cell: 9.8970 9.8970 7.2932 Å, 97.24 97.24 65.35°
Closest atoms and distances in Å follow each position.
Atoms (fractional coordinates):
Tb1 0.0033 0.6640 0.9259  1 Cd 3.16, 3 Tb 3.46-3.52
Tb2 0.0107 0.3298 0.6011  1 Cd 3.02, 1 Tb 3.38
Tb3 0.3113 0.3150 0.3849  2 Cd 3.05-3.11, 1 Tb 3.38
Tb4 0.3150 0.3113 0.8849  2 Cd 3.05-3.11, 1 Tb 3.38
Tb5 0.3298 0.0107 0.1011  1 Cd 3.02, 1 Tb 3.38
Tb6 0.3360 0.9967 0.5741  1 Cd 3.16, 3 Tb 3.46-3.52
Tb7 0.6640 0.0033 0.4259  1 Cd 3.16, 3 Tb 3.46-3.52
Tb8 0.6702 0.9893 0.8989  1 Cd 3.02, 1 Tb 3.38
Tb9 0.6850 0.6887 0.1151  2 Cd 3.05-3.11, 1 Tb 3.38
Tb10 0.6887 0.6850 0.6151  2 Cd 3.05-3.11, 1 Tb 3.38
Tb11 0.9893 0.6702 0.3989  1 Cd 3.02, 1 Tb 3.38
Tb12 0.9967 0.3360 0.0741  1 Cd 3.16, 3 Tb 3.46-3.52
Pr1 0.0237 0.9763 0.7500  8 Tb 3.58-3.95, 2 Cd 3.65, 3 Pr 3.68-3.96
Pr2 0.3468 0.6532 0.2500  4 Cd 3.48-3.59, 6 Tb 3.76-3.86
Pr3 0.6532 0.3468 0.7500  4 Cd 3.48-3.59, 6 Tb 3.76-3.86
Pr4 0.9763 0.0237 0.2500  8 Tb 3.58-3.95, 2 Cd 3.65, 3 Pr 3.68-3.96
Cd1 0.2646 0.5815 0.6680  1 Cd 2.66
Cd2 0.4185 0.7354 0.8320  1 Cd 2.66
Cd3 0.5815 0.2646 0.1680  1 Cd 2.66
Cd4 0.7354 0.4185 0.3320  1 Cd 2.66

Values from the calculation:
DOS(E_F): 6.95 states/eV/f.u.
Total moment: 0.0 μB per formula unit
Energy of formation from the pure elements: 0.0075 eV per atom


No. 4
Density functional theory data (GGA-PBE) for a geometry-optimized KPrSnO3 structure.

Cell: 7.1929 3.5922 10.2693 Å, 90.00 92.35 90.00°
Closest atoms and distances in Å follow each position.
Atoms (fractional coordinates):
K1 0.1789 0.2500 0.2640  3 O 2.62-2.91
K2 0.8211 0.7500 0.7360  3 O 2.62-2.91
Pr1 0.3672 0.2500 0.6170  6 O 2.39-2.53
Pr2 0.6328 0.7500 0.3830  6 O 2.39-2.53
Sn1 0.2606 0.7500 0.9002  3 O 2.05-2.25
Sn2 0.7394 0.2500 0.0998  3 O 2.05-2.25
O1 0.1371 0.2500 0.7972  2 Sn 2.25
O2 0.3270 0.7500 0.4652  3 Pr 2.39
O3 0.4599 0.7500 0.7631  1 Sn 2.05
O4 0.5401 0.2500 0.2369  1 Sn 2.05
O5 0.6730 0.2500 0.5348  3 Pr 2.39
O6 0.8629 0.7500 0.2028  2 Sn 2.25

Values from the calculation:
DOS(E_F): 0.00 states/eV/f.u.
Total moment: 0.0 μB per formula unit
Uncorrected formation energy: -2.127 eV/atom


No. 5
Density functional theory data (GGA-PBE) for a geometry-optimized NaCr2C structure.

Cell: 6.2298 6.2298 6.2298 Å, 60.00 60.00 60.00°
Closest atoms and distances in Å follow each position.
Atoms (fractional coordinates):
Na1 0.1250 0.1250 0.1250  12 Cr 3.65, 4 Na 3.81, 4 C 3.81
Na2 0.8750 0.8750 0.8750  12 Cr 3.65, 4 Na 3.81, 4 C 3.81
Cr1 0.0000 0.5000 0.5000  2 C 1.91
Cr2 0.5000 0.0000 0.5000  2 C 1.91
Cr3 0.5000 0.5000 0.0000  2 C 1.91
Cr4 0.5000 0.5000 0.5000  2 C 1.91
C1 0.3750 0.3750 0.3750  4 Cr 1.91
C2 0.6250 0.6250 0.6250  4 Cr 1.91

Values from the calculation:
DOS(E_F): 2.30 states/eV/f.u.
Total moment: 6.7 μB per formula unit
Energy of formation from the pure elements: 0.7986 eV per atom


No. 6
Density functional theory data (GGA-PBE) for a geometry-optimized CeDy2V structure.

Cell: 5.3016 5.3016 5.3016 Å, 60.00 60.00 60.00°
Closest atoms and distances in Å follow each position.
Atoms (fractional coordinates):
Ce1 0.0000 0.0000 0.0000  8 Dy 3.25
Dy1 0.2500 0.2500 0.2500  4 Ce 3.25, 4 V 3.25
Dy2 0.7500 0.7500 0.7500  4 Ce 3.25, 4 V 3.25
V1 0.5000 0.5000 0.5000  8 Dy 3.25

Values from the calculation:
DOS(E_F): 9.02 states/eV/f.u.
Total moment: 3.0 μB per formula unit
Energy of formation from the pure elements: 0.3867 eV per atom